A relaxed structure of Pa2AlFeO8. Source: Alexandria, functional PBE+U.

abc: 4.6487 4.6828 7.1313
angles: 85.87 86.19 87.06
Fractional coordinates of all 12 atoms:
Pa (0.0151, 0.0009, 0.2541)
Pa (0.9849, 0.9991, 0.7459)
Al (0.5000, 0.5000, 0.5000)
Fe (0.5000, 0.5000, 0.0000)
O (0.2051, 0.7884, 0.5053)
O (0.2070, 0.7924, 0.9956)
O (0.3047, 0.2900, 0.7014)
O (0.3228, 0.3335, 0.2459)
O (0.6772, 0.6665, 0.7541)
O (0.6953, 0.7100, 0.2986)
O (0.7930, 0.2076, 0.0044)
O (0.7949, 0.2116, 0.4947)

Its final energy is -8.51 eV per atom. Its crystal system is triclinic. For the theoretical density, the calculation gives 7.24 g/cm3.

=====

A relaxed structure of PaAlFeO6. Source: Alexandria, functional PBE+U.

abc: 4.9287 4.9287 4.7792
angles: 90.00 90.00 120.00
Fractional coordinates of all 9 atoms:
Pa (0.0000, 0.0000, 0.0000)
Al (0.6667, 0.3333, 0.5000)
Fe (0.3333, 0.6667, 0.5000)
O (0.0001, 0.3561, 0.2792)
O (0.0001, 0.6441, 0.7208)
O (0.3559, 0.9999, 0.2792)
O (0.3559, 0.3561, 0.7208)
O (0.6439, 0.9999, 0.7208)
O (0.6439, 0.6441, 0.2792)

Its final energy is -7.81 eV per atom. Its crystal system is trigonal. For the theoretical density, the calculation gives 6.77 g/cm3.

=====

A relaxed structure of AlFe2Pb2O6. Source: Alexandria, functional PBE+U.

abc: 6.1073 6.1073 6.1073
angles: 57.51 57.51 57.51
Fractional coordinates of all 11 atoms:
Al (0.0000, 0.0000, 0.0000)
Fe (0.4134, 0.4134, 0.4134)
Fe (0.5866, 0.5866, 0.5866)
Pb (0.2014, 0.2014, 0.2014)
Pb (0.7986, 0.7986, 0.7986)
O (0.2194, 0.7708, 0.7708)
O (0.2292, 0.2292, 0.7806)
O (0.2292, 0.7806, 0.2292)
O (0.7708, 0.2194, 0.7708)
O (0.7708, 0.7708, 0.2194)
O (0.7806, 0.2292, 0.2292)

Its final energy is -6.23 eV per atom. Its crystal system is trigonal. For the theoretical density, the calculation gives 7.10 g/cm3.